DFT (GGA-PBEsol) results for Ag2Pt after structural relaxation.

abc: 6.2684 4.0518 7.8993
angles: 90.00 108.08 90.00
Closest atoms and distances in Å follow each position.
Space group Pm (No. 6)
Asymmetric unit:
Ag: 0.0000 0.0000 0.0000 (multiplicity 1)  5 Pt 2.77-2.83, 7 Ag 2.79-2.85
Ag: 0.9998 0.0000 0.4987 (multiplicity 1)  7 Ag 2.80-2.85, 5 Pt 2.82-2.84
Ag: 0.9996 0.5000 0.7478 (multiplicity 1)  8 Ag 2.79-2.85, 4 Pt 2.80-2.84
Ag: 0.3336 0.0000 0.3313 (multiplicity 1)  6 Ag 2.79-2.84, 6 Pt 2.82-2.84
Ag: 0.3351 0.5000 0.5838 (multiplicity 1)  8 Ag 2.79-2.85, 4 Pt 2.81-2.85
Ag: 0.6625 0.5000 0.9162 (multiplicity 1)  8 Ag 2.79-2.85, 4 Pt 2.80-2.83
Ag: 0.6634 0.0000 0.6627 (multiplicity 1)  9 Ag 2.79-2.85, 3 Pt 2.83-2.86
Ag: 0.6659 0.0000 0.1648 (multiplicity 1)  7 Pt 2.78-2.86, 5 Ag 2.79-2.82
Pt: 0.0018 0.5000 0.2500 (multiplicity 1)  2 Pt 2.75-2.76, 10 Ag 2.81-2.85
Pt: 0.3279 0.5000 0.0823 (multiplicity 1)  4 Pt 2.76-2.81, 8 Ag 2.80-2.86
Pt: 0.3324 0.0000 0.8373 (multiplicity 1)  10 Ag 2.77-2.85, 2 Pt 2.81
Pt: 0.6679 0.5000 0.4084 (multiplicity 1)  2 Pt 2.75-2.79, 10 Ag 2.79-2.86

Calculated values
The calculation puts the relative energy among the computed polymorphs at 38 meV/atom. The total magnetic moment comes out at 0.000 μB/atom. The formation energy from the elements is 0.03 eV/atom. Its crystal system is monoclinic.


DFT (GGA-PBEsol) results for MnAgPt3 after structural relaxation.

abc: 4.7699 4.7699 4.7699
angles: 90.00 90.00 90.00
Closest atoms and distances in Å follow each position.
Space group Pm-3m (No. 221)
Asymmetric unit:
Mn: 0.0000 0.0000 0.0000 (multiplicity 1)  12 Pt 3.37
Ag: 0.5000 0.5000 0.5000 (multiplicity 1)  6 Pt 2.38
Pt: 0.0000 0.5000 0.5000 (multiplicity 3)  2 Ag 2.38

Calculated values
The total magnetic moment comes out at 0.982 μB/atom. The formation energy from the elements is 1.65 eV/atom. Its crystal system is cubic.


DFT (GGA-PBEsol) results for Li3V2O4F2 after structural relaxation.

abc: 4.8935 8.3863 7.3498
angles: 90.00 92.08 90.00
Closest atoms and distances in Å follow each position.
Space group Pm (No. 6)
Asymmetric unit:
Li: 0.0000 0.0000 0.0000 (multiplicity 1)  3 F 1.76-1.85
Li: 0.0045 0.3330 0.0262 (multiplicity 2)  3 F 1.83-1.90
Li: 0.1652 0.5000 0.7607 (multiplicity 1)  3 F 1.86-1.89
Li: 0.4749 0.1792 0.0493 (multiplicity 2)  3 F 1.84-1.88
Li: 0.6071 0.0000 0.7608 (multiplicity 1)  3 F 1.84-2.01
Li: 0.6337 0.3323 0.7658 (multiplicity 2)  3 F 1.86-1.92
V: 0.2662 0.0000 0.4082 (multiplicity 1)  6 O 1.97-2.06
V: 0.2835 0.3179 0.4124 (multiplicity 2)  6 O 1.87-2.03
V: 0.7933 0.5000 0.3861 (multiplicity 1)  6 O 1.86-2.02
V: 0.8372 0.1589 0.4110 (multiplicity 2)  6 O 1.89-2.06
O: 0.1235 0.5000 0.2615 (multiplicity 1)  3 V 1.89-2.03
O: 0.1344 0.1670 0.2376 (multiplicity 2)  3 V 1.93-1.97
O: 0.4637 0.5000 0.5438 (multiplicity 1)  3 V 1.99-2.02, 1 Li 2.20
O: 0.4803 0.1670 0.5499 (multiplicity 2)  3 V 1.87-2.06
O: 0.6275 0.3275 0.2682 (multiplicity 2)  3 V 1.86-2.02
O: 0.6296 0.0000 0.2764 (multiplicity 1)  3 V 1.93-2.06
O: 0.9594 0.0000 0.5781 (multiplicity 1)  3 V 1.89-1.99
O: 0.9647 0.3385 0.5542 (multiplicity 2)  3 V 1.92-2.00
F: 0.3179 0.3346 0.8983 (multiplicity 2)  4 Li 1.83-1.86
F: 0.3416 0.0000 0.9323 (multiplicity 1)  4 Li 1.76-1.84
F: 0.7937 0.1702 0.9135 (multiplicity 2)  5 Li 1.85-2.01
F: 0.8358 0.5000 0.8872 (multiplicity 1)  5 Li 1.89-1.92

Calculated values
The calculation puts the relative energy among the computed polymorphs at 0 meV/atom. The total magnetic moment comes out at 0.093 μB/atom. Its crystal system is monoclinic. For the formation energy without anion corrections, the calculation gives -2.5329 eV/atom.


Among the records above, which one has the lowest total magnetic moment? Ag2Pt


Which value of total magnetic moment does entry 3 give? 0.093 μB/atom


Repeat the third record exactly.
DFT (GGA-PBEsol) results for Li3V2O4F2 after structural relaxation.

abc: 4.8935 8.3863 7.3498
angles: 90.00 92.08 90.00
Closest atoms and distances in Å follow each position.
Space group Pm (No. 6)
Asymmetric unit:
Li: 0.0000 0.0000 0.0000 (multiplicity 1)  3 F 1.76-1.85
Li: 0.0045 0.3330 0.0262 (multiplicity 2)  3 F 1.83-1.90
Li: 0.1652 0.5000 0.7607 (multiplicity 1)  3 F 1.86-1.89
Li: 0.4749 0.1792 0.0493 (multiplicity 2)  3 F 1.84-1.88
Li: 0.6071 0.0000 0.7608 (multiplicity 1)  3 F 1.84-2.01
Li: 0.6337 0.3323 0.7658 (multiplicity 2)  3 F 1.86-1.92
V: 0.2662 0.0000 0.4082 (multiplicity 1)  6 O 1.97-2.06
V: 0.2835 0.3179 0.4124 (multiplicity 2)  6 O 1.87-2.03
V: 0.7933 0.5000 0.3861 (multiplicity 1)  6 O 1.86-2.02
V: 0.8372 0.1589 0.4110 (multiplicity 2)  6 O 1.89-2.06
O: 0.1235 0.5000 0.2615 (multiplicity 1)  3 V 1.89-2.03
O: 0.1344 0.1670 0.2376 (multiplicity 2)  3 V 1.93-1.97
O: 0.4637 0.5000 0.5438 (multiplicity 1)  3 V 1.99-2.02, 1 Li 2.20
O: 0.4803 0.1670 0.5499 (multiplicity 2)  3 V 1.87-2.06
O: 0.6275 0.3275 0.2682 (multiplicity 2)  3 V 1.86-2.02
O: 0.6296 0.0000 0.2764 (multiplicity 1)  3 V 1.93-2.06
O: 0.9594 0.0000 0.5781 (multiplicity 1)  3 V 1.89-1.99
O: 0.9647 0.3385 0.5542 (multiplicity 2)  3 V 1.92-2.00
F: 0.3179 0.3346 0.8983 (multiplicity 2)  4 Li 1.83-1.86
F: 0.3416 0.0000 0.9323 (multiplicity 1)  4 Li 1.76-1.84
F: 0.7937 0.1702 0.9135 (multiplicity 2)  5 Li 1.85-2.01
F: 0.8358 0.5000 0.8872 (multiplicity 1)  5 Li 1.89-1.92

Calculated values
The calculation puts the relative energy among the computed polymorphs at 0 meV/atom. The total magnetic moment comes out at 0.093 μB/atom. Its crystal system is monoclinic. For the formation energy without anion corrections, the calculation gives -2.5329 eV/atom.